Record 1
# B2TeAu2

A relaxed B2TeAu2 crystal (GGA-PBE, OQMD via LeMat-Bulk).

Results
Energy above the lowest structure with this stoichiometry: 0.15 eV/f.u.

Cell lengths 6.484, 6.484, 6.484 Å; angles 146.72, 146.72, 47.78 degrees
Atoms (fractional coordinates):
Te 0.000 0.000 0.000
Au 0.357 0.357 0.000
Au 0.643 0.643 0.000
B 0.750 0.250 0.500
B 0.250 0.750 0.500

***

Record 2
# YCoCl6

A relaxed YCoCl6 crystal (GGA-PBE, OQMD via LeMat-Bulk).

Cell lengths 6.346, 6.346, 6.309 Å; angles 99.72, 99.72, 119.92 degrees
Atoms (fractional coordinates):
Y 0.166 0.834 0.000
Co 0.833 0.167 0.000
Cl 0.908 0.531 0.229
Cl 0.621 0.952 0.225
Cl 0.048 0.379 0.775
Cl 0.756 0.802 0.770
Cl 0.198 0.244 0.230
Cl 0.469 0.092 0.771

***

Record 3
# YHf2Co

A relaxed YHf2Co crystal (GGA-PBE, OQMD via LeMat-Bulk).

Results
Formation energy from the elements: 7.7 kcal/mol of atoms

Cell lengths 4.871, 4.871, 4.871 Å; angles 60.00, 60.00, 60.00 degrees
Atoms (fractional coordinates):
Hf 0.000 0.000 0.000
Hf 0.750 0.750 0.750
Co 0.250 0.250 0.250
Y 0.500 0.500 0.500

***

Record 4
# HfCoHgPb

A relaxed HfCoHgPb crystal (GGA-PBE, OQMD via LeMat-Bulk).

Results
Energy above the lowest structure with this stoichiometry: 0.00 eV/f.u.

Cell lengths 4.793, 4.793, 4.793 Å; angles 60.00, 60.00, 60.00 degrees
Last column: magnetic moment on the atom in μB.
Atoms (fractional coordinates):
Hg 0.500 0.500 0.500  -0.01
Pb 0.000 0.000 0.000  0.00
Co 0.750 0.750 0.750  1.13
Hf 0.250 0.250 0.250  -0.06

***

Record 5
# NaGdCdTe3

A relaxed NaGdCdTe3 crystal (GGA-PBE, OQMD via LeMat-Bulk).

Results
Energy above the lowest structure with this stoichiometry: 0.37 eV/f.u.

Cell lengths 8.689, 4.523, 18.869 Å; angles 90.00, 90.00, 90.00 degrees
Atoms (fractional coordinates):
Na 0.564 0.250 0.804
Na 0.936 0.750 0.304
Na 0.436 0.750 0.196
Na 0.064 0.250 0.696
Gd 0.273 0.750 0.961
Gd 0.773 0.750 0.539
Gd 0.727 0.250 0.039
Gd 0.227 0.250 0.461
Te 0.372 0.250 0.066
Te 0.775 0.750 0.708
Te 0.128 0.750 0.566
Te 0.992 0.750 0.075
Te 0.008 0.250 0.925
Te 0.872 0.250 0.434
Te 0.628 0.750 0.934
Te 0.275 0.750 0.792
Te 0.508 0.250 0.575
Te 0.225 0.250 0.292
Te 0.492 0.750 0.425
Te 0.725 0.250 0.208
Cd 0.060 0.250 0.164
Cd 0.940 0.750 0.836
Cd 0.440 0.750 0.664
Cd 0.560 0.250 0.336

***

Record 6
# PuZnTc

A relaxed PuZnTc crystal (GGA-PBE, OQMD via LeMat-Bulk).

Results
Energy above the lowest structure with this stoichiometry: 0.00 eV/f.u.
Formation energy from the elements: 12.1 kcal/mol of atoms

Cell lengths 4.355, 4.355, 4.355 Å; angles 60.00, 60.00, 60.00 degrees
Last column: magnetic moment on the atom in μB.
Atoms (fractional coordinates):
Zn 0.000 0.000 0.000  0.07
Pu 0.250 0.250 0.250  4.95
Tc 0.750 0.750 0.750  -1.05

***

Record 7
# LaZrSe2O

A relaxed LaZrSe2O crystal (GGA-PBE, OQMD via LeMat-Bulk).

Cell lengths 6.396, 6.396, 8.984 Å; angles 91.59, 91.59, 35.34 degrees
Last column: magnetic moment on the atom in μB.
Atoms (fractional coordinates):
O 0.834 0.834 0.561  0.00
O 0.166 0.166 0.439  0.00
Zr 0.000 0.000 0.500  0.06
Zr 0.500 0.500 0.000  0.28
La 0.268 0.268 0.696  0.02
La 0.732 0.732 0.304  0.02
Se 0.441 0.441 0.292  0.00
Se 0.559 0.559 0.708  0.00
Se 0.148 0.148 0.059  0.00
Se 0.852 0.852 0.941  0.00

***

Record 8
# TmIrNO

A relaxed TmIrNO crystal (GGA-PBE, OQMD via LeMat-Bulk).

Results
Energy above the lowest structure with this stoichiometry: 0.00 eV/f.u.

Cell lengths 5.178, 5.451, 7.712 Å; angles 90.00, 90.00, 90.00 degrees
Atoms (fractional coordinates):
Tm 0.363 0.027 0.360
Tm 0.363 0.527 0.640
Tm 0.863 0.473 0.360
Tm 0.863 0.973 0.640
Ir 0.033 0.078 0.027
Ir 0.533 0.422 0.027
Ir 0.533 0.922 0.973
Ir 0.033 0.578 0.973
O 0.610 0.251 0.525
O 0.110 0.249 0.525
O 0.110 0.749 0.475
O 0.610 0.751 0.475
N 0.697 0.634 0.841
N 0.197 0.366 0.159
N 0.697 0.134 0.159
N 0.197 0.866 0.841

***

| no. | E (eV/atom) |
| --- | --- |
| 1 | -3.7566 |
| 2 | -4.4553 |
| 3 | -8.0374 |
| 4 | -4.9178 |
| 5 | -3.6235 |
| 6 | -8.0600 |
| 7 | -7.2840 |
| 8 | -8.2328 |